[1]
InHg2Te | the Alexandria database | GGA-PBE | optimized geometry; calculated volume = 29.164 A^3/atom; ΔE to the lowest computed polymorph = 0.518 eV per formula unit; uncorrected formation energy = 0.06 eV/f.u.
1.0
3.2916 0.0301 0.0000
-0.9178 3.1612 0.0000
0.0000 0.0000 11.1811
Hg In Te
2 1 1
Direct
0.5000 0.5000 0.2531
0.0000 0.0000 0.0094
0.0000 0.0000 0.5021
0.5000 0.5000 0.7354


[2]
In16Hg12Te | the Alexandria database | GGA-PBE | optimized geometry; calculated volume = 27.329 A^3/atom; uncorrected formation energy = 0.23 eV/f.u.
1.0
7.9194 5.7138 -0.4672
-7.9194 5.7138 -0.4672
0.0000 4.9502 8.3524
Hg In Te
12 16 1
Direct
0.4828 0.4828 0.2848
0.1943 0.8232 0.1601
0.1726 0.9707 0.6555
0.4088 0.2117 0.0029
0.7994 0.7994 0.9740
0.2117 0.4088 0.0029
0.4294 0.0063 0.7942
0.0063 0.4294 0.7942
0.8047 0.6048 0.3284
0.6048 0.8047 0.3284
0.8232 0.1943 0.1601
0.9707 0.1726 0.6555
0.5721 0.2250 0.4319
0.9586 0.9586 0.2790
0.3972 0.9809 0.3130
0.2250 0.5721 0.4319
0.7237 0.9913 0.5583
0.9809 0.3972 0.3130
0.2038 0.2038 0.3417
0.4339 0.6959 0.0253
0.3815 0.3815 0.6555
0.6685 0.0515 0.9661
0.7284 0.3502 0.6654
0.6959 0.4339 0.0253
0.3502 0.7284 0.6654
0.0515 0.6685 0.9661
0.9913 0.7237 0.5583
0.0911 0.0911 0.9267
0.6377 0.6377 0.7363


[3]
In2HgTe | the Alexandria database | GGA-PBE | optimized geometry; calculated volume = 28.953 A^3/atom; ΔE to the lowest computed polymorph = 0.298 eV per formula unit; uncorrected formation energy = -0.34 eV/f.u.
1.0
-2.6162 -2.6116 2.2911
2.5705 -1.4119 1.3258
-0.1336 5.5309 6.1520
Te Hg In
1 1 2
Direct
0.5000 0.2500 0.2500
0.5000 0.7500 0.7500
0.0000 0.2522 0.9784
0.0000 0.2478 0.5216


[4]
In2Hg2Te5 | the Alexandria database | GGA-PBE | optimized geometry; calculated volume = 39.040 A^3/atom; uncorrected formation energy = -0.84 eV/f.u.
1.0
-1.6164 2.5649 -3.2423
5.6805 -2.1219 -4.5105
-7.2597 -8.4467 -0.0240
In Te Hg
2 5 2
Direct
0.8758 0.1027 0.7515
0.1242 0.8973 0.2485
0.0000 0.0000 0.0000
0.3168 0.8909 0.6335
0.1218 0.5291 0.2436
0.8782 0.4709 0.7564
0.6832 0.1091 0.3665
0.4265 0.7142 0.8530
0.5735 0.2858 0.1470


[5]
In2HgTe | the Alexandria database | GGA-PBE | optimized geometry; calculated volume = 29.486 A^3/atom; ΔE to the lowest computed polymorph = 0.259 eV per formula unit; uncorrected formation energy = -0.38 eV/f.u.
1.0
4.4318 0.0000 0.0000
0.0000 5.1588 0.0000
0.0000 0.0000 5.1588
Hg Te In
1 1 2
Direct
0.5000 0.5000 0.5000
0.5000 0.0000 0.0000
0.0000 0.5000 0.0000
0.0000 0.0000 0.5000


[6]
InHg2Te | the Alexandria database | GGA-PBE | optimized geometry; calculated volume = 28.204 A^3/atom; ΔE to the lowest computed polymorph = 0.403 eV per formula unit; uncorrected formation energy = -0.05 eV/f.u.
1.0
-3.4274 -1.3609 1.7037
1.4553 -4.7533 -0.8693
2.4916 -0.1343 4.9051
Hg Te In
2 1 1
Direct
0.0000 0.0000 0.0000
0.5000 0.5000 0.0000
0.0000 0.5000 0.5000
0.5000 0.0000 0.5000


[7]
In2HgTe | the Alexandria database | GGA-PBE | optimized geometry; calculated volume = 29.401 A^3/atom; ΔE to the lowest computed polymorph = 0.402 eV per formula unit; uncorrected formation energy = -0.24 eV/f.u.
1.0
-0.1423 3.2991 4.8067
-2.4249 -1.8212 1.1782
1.6860 -5.5884 3.8855
In Te Hg
2 1 1
Direct
0.0000 0.1113 0.8763
0.5000 0.1327 0.3738
0.0000 0.6302 0.3763
0.5000 0.6258 0.8737


[8]
In8Hg6Te | the Alexandria database | GGA-PBE | optimized geometry; calculated volume = 27.736 A^3/atom; uncorrected formation energy = -0.09 eV/f.u.
1.0
-1.2678 -4.4112 3.9425
4.2110 -6.9656 -4.1579
3.3132 5.0013 7.5754
In Hg Te
8 6 1
Direct
0.1949 0.7512 0.9942
0.0836 0.2935 0.3081
0.8785 0.3714 0.7139
0.2479 0.9548 0.7074
0.1215 0.6286 0.2861
0.7521 0.0452 0.2926
0.9164 0.7065 0.6919
0.8051 0.2488 0.0058
0.3260 0.3503 0.8886
0.7364 0.9905 0.5932
0.5849 0.5728 0.4038
0.4151 0.4272 0.5962
0.2636 0.0095 0.4068
0.6740 0.6497 0.1114
0.5000 0.0000 0.0000


[9]
InHg2Te | the Alexandria database | GGA-PBE | optimized geometry; calculated volume = 28.860 A^3/atom; ΔE to the lowest computed polymorph = 0.341 eV per formula unit; uncorrected formation energy = -0.11 eV/f.u.
1.0
6.9677 0.0343 -0.0083
4.2954 5.4863 0.0083
-5.5568 -2.9127 3.0311
Hg In Te
2 1 1
Direct
0.0300 0.0300 0.0000
0.7203 0.2203 0.5000
0.4692 0.4692 0.0000
0.2805 0.7805 0.5000


[10]
In2HgTe | the Alexandria database | GGA-PBE | optimized geometry; calculated volume = 29.959 A^3/atom; ΔE to the lowest computed polymorph = 0.134 eV per formula unit; uncorrected formation energy = -0.50 eV/f.u.
1.0
-4.4242 -0.0333 -0.2527
-0.2386 -0.9579 4.3048
-0.1219 12.4325 0.4943
In Te Hg
4 2 2
Direct
0.2500 0.3133 0.6265
0.2500 0.0573 0.1146
0.7500 0.6867 0.3735
0.7500 0.9427 0.8854
0.7500 0.8148 0.6297
0.2500 0.1852 0.3703
0.2500 0.4386 0.8772
0.7500 0.5614 0.1228


[11]
In2HgTe2 | the Alexandria database | GGA-PBE | optimized geometry; calculated volume = 32.521 A^3/atom; ΔE to the lowest computed polymorph = 0.227 eV per formula unit; uncorrected formation energy = -0.75 eV/f.u.
1.0
5.6232 0.0000 0.0000
0.0000 5.6232 0.0000
2.8116 2.8116 5.1423
Te In Hg
2 2 1
Direct
0.2500 0.7500 0.5000
0.7500 0.2500 0.5000
0.6393 0.6393 0.7214
0.3607 0.3607 0.2786
0.0000 0.0000 0.0000


[12]
In2Hg2Te | the Alexandria database | GGA-PBE | optimized geometry; calculated volume = 28.959 A^3/atom; ΔE to the lowest computed polymorph = 0.636 eV per formula unit; uncorrected formation energy = 0.00 eV/f.u.
1.0
8.6533 0.0000 0.0000
0.0000 8.6533 0.0000
0.0000 0.0000 3.8673
Hg In Te
4 4 2
Direct
0.6311 0.8689 0.5000
0.1311 0.6311 0.5000
0.3689 0.1311 0.5000
0.8689 0.3689 0.5000
0.1742 0.3258 0.0000
0.8258 0.6742 0.0000
0.6742 0.1742 0.0000
0.3258 0.8258 0.0000
0.5000 0.5000 0.0000
0.0000 0.0000 0.0000


[13]
InHg2Te | the Alexandria database | GGA-PBE | optimized geometry; calculated volume = 27.973 A^3/atom; ΔE to the lowest computed polymorph = 0.610 eV per formula unit; uncorrected formation energy = 0.15 eV/f.u.
1.0
-4.1834 -0.4880 -2.9572
-2.0337 -3.2677 3.4162
-1.8074 3.2392 2.0224
Hg Te In
2 1 1
Direct
0.5000 0.5000 0.0000
0.0000 0.0000 0.0000
0.0000 0.5000 0.5000
0.5000 0.0000 0.5000


[14]
In2HgTe2 | the Alexandria database | GGA-PBE | optimized geometry; calculated volume = 32.024 A^3/atom; ΔE to the lowest computed polymorph = 0.000 eV per formula unit; uncorrected formation energy = -0.98 eV/f.u.
1.0
4.3399 0.0000 0.0000
0.0000 6.1068 -1.1691
0.0000 1.3782 11.8196
Te In Hg
4 4 2
Direct
0.7500 0.7132 0.2090
0.2500 0.2383 0.4062
0.2500 0.2868 0.7910
0.7500 0.7617 0.5938
0.7500 0.2144 0.2236
0.7500 0.2633 0.6136
0.2500 0.7367 0.3864
0.2500 0.7856 0.7764
0.2500 0.2018 0.0438
0.7500 0.7982 0.9562


[15]
In2HgTe | the Alexandria database | GGA-PBE | optimized geometry; calculated volume = 31.292 A^3/atom; ΔE to the lowest computed polymorph = 0.000 eV per formula unit; uncorrected formation energy = -0.64 eV/f.u.
1.0
-2.8964 1.1748 -3.3275
-4.4786 0.0325 0.8845
-2.1354 6.9842 1.0919
Te In Hg
1 2 1
Direct
0.7500 0.7500 0.7500
0.9973 0.9973 0.0062
0.5027 0.5027 0.4938
0.2500 0.2500 0.2500


[16]
InHgTe3 | the Alexandria database | GGA-PBE | optimized geometry; calculated volume = 35.640 A^3/atom; ΔE to the lowest computed polymorph = 0.000 eV per formula unit; uncorrected formation energy = -0.62 eV/f.u.
1.0
-2.3083 3.7222 0.7588
-3.2120 -0.4459 -5.1218
-5.1448 -4.8841 0.9406
Te In Hg
3 1 1
Direct
0.3625 0.1788 0.1906
0.0340 0.5034 0.6174
0.6862 0.7507 0.8828
0.9075 0.8651 0.2320
0.5698 0.2023 0.5872


[17]
In7Hg12Te | the Alexandria database | GGA-PBE | optimized geometry; calculated volume = 28.526 A^3/atom; uncorrected formation energy = 0.19 eV/f.u.
1.0
8.0963 0.0065 -2.2403
-3.8699 7.6694 -3.5248
-0.3450 -0.0046 9.2824
In Hg Te
7 12 1
Direct
0.8746 0.2942 0.0000
0.5809 0.7064 0.7055
0.1246 0.9990 0.7055
0.4191 0.2936 0.2945
0.1254 0.7058 0.0000
0.5000 0.0000 0.0000
0.8754 0.0010 0.2945
0.4960 0.9993 0.3419
0.2852 0.5704 0.2854
0.7142 0.7142 0.4284
0.4942 0.3418 0.0000
0.7148 0.4296 0.7146
0.5040 0.0007 0.6581
0.1541 0.6574 0.6581
0.8459 0.3426 0.3419
0.2858 0.2858 0.5716
0.0002 0.7150 0.2854
0.5058 0.6582 0.0000
0.9998 0.2850 0.7146
0.0000 0.0000 0.0000


[18]
In6Hg12Te | the Alexandria database | GGA-PBE | optimized geometry; calculated volume = 28.412 A^3/atom; uncorrected formation energy = -0.05 eV/f.u.
1.0
-0.1488 -3.2580 -7.5558
-3.1912 -6.4008 4.0790
-6.8611 4.4994 -0.5924
In Hg Te
6 12 1
Direct
0.8878 0.8876 0.3391
0.3391 0.8877 0.8875
0.8870 0.3395 0.8868
0.6609 0.1123 0.1125
0.1130 0.6605 0.1132
0.1122 0.1124 0.6609
0.2377 0.7624 0.5005
0.7623 0.2376 0.4995
0.5004 0.7619 0.2372
0.3601 0.3596 0.1062
0.3599 0.1047 0.3603
0.8944 0.6400 0.6391
0.6401 0.8953 0.6397
0.4996 0.2381 0.7628
0.7623 0.4999 0.2369
0.6399 0.6404 0.8938
0.1056 0.3600 0.3609
0.2377 0.5001 0.7631
0.0000 0.0000 0.0000


[19]
In4HgTe7 | the Alexandria database | GGA-PBE | optimized geometry; calculated volume = 42.625 A^3/atom; uncorrected formation energy = -3.14 eV/f.u.
1.0
7.4214 -0.0001 0.0001
-0.0001 7.7241 0.0000
0.0004 0.0000 17.8458
Te In Hg
14 8 2
Direct
0.4389 0.8164 0.2639
0.3808 0.8078 0.0000
0.4484 0.3277 0.6099
0.8808 0.1922 0.5000
0.3912 0.3464 0.8667
0.9484 0.6723 0.8902
0.4389 0.8164 0.7361
0.9389 0.1836 0.2361
0.9389 0.1836 0.7639
0.9484 0.6723 0.1099
0.4484 0.3277 0.3902
0.3912 0.3464 0.1333
0.8912 0.6536 0.6333
0.8912 0.6536 0.3667
0.5784 0.6748 0.8737
0.0530 0.8289 0.7569
0.5784 0.6748 0.1263
0.0530 0.8289 0.2431
0.5530 0.1711 0.7431
0.0784 0.3252 0.6263
0.5530 0.1711 0.2569
0.0784 0.3252 0.3737
0.9544 0.8361 0.5000
0.4544 0.1639 0.0000


[20]
In2Hg2Te | the Alexandria database | GGA-PBE | optimized geometry; calculated volume = 30.712 A^3/atom; ΔE to the lowest computed polymorph = 0.410 eV per formula unit; uncorrected formation energy = -0.22 eV/f.u.
1.0
4.2498 0.0000 0.0000
0.0000 4.2498 0.0000
2.1249 2.1249 8.5025
Te Hg In
1 2 2
Direct
0.0000 0.0000 0.0000
0.7500 0.2500 0.5000
0.2500 0.7500 0.5000
0.4060 0.4060 0.1879
0.5940 0.5940 0.8121